Co4MoCl (GGA-PBEsol, relaxed); volume = 72 Å³ per cell; total moment = 2.4 μB per cell; raw total energy = -40.9 eV per cell; formation energy without anion corrections = 0.641 eV/atom
1.0
4.664 0.000 0.000
2.332 4.039 0.000
2.332 1.346 3.808
Cl Co Mo
1 4 1
Direct
0.000 0.000 0.000
0.376 0.376 0.376
0.376 0.376 0.873
0.873 0.376 0.376
0.376 0.873 0.376
0.750 0.750 0.750